Material: K3GaAu
Method: DFT, PBE
State: relaxed

a = 6.2800 Å, b = 6.2800 Å, c = 6.2800 Å
α = 90.00°, β = 90.00°, γ = 90.00°
With the nearest neighbours (Å) after each atom.
Positions (direct):
K1 0.0000 0.0000 0.5000  2 Au 3.14
K2 0.0000 0.5000 0.0000  2 Au 3.14
K3 0.5000 0.0000 0.0000  2 Au 3.14
Ga1 0.5000 0.5000 0.5000  12 K 4.44
Au1 0.0000 0.0000 0.0000  6 K 3.14

Results
**Crystal system**: cubic
**DOS at the Fermi energy**: 0.702 states/eV/atom
**Energy above the lowest structure with this stoichiometry**: 240 meV/atom
**Magnetic moment**: 0.00 Bohr magnetons per cell
**Formation energy from the elements**: 0.1066 eV per atom

=====

Material: K3GaAu2
Method: DFT, PBE
State: relaxed

a = 7.3279 Å, b = 7.3279 Å, c = 7.4829 Å
α = 90.00°, β = 90.00°, γ = 98.59°
With the nearest neighbours (Å) after each atom.
Positions (direct):
K1 0.0540 0.5639 0.2500  4 Au 3.40-3.52, 1 Ga 3.54, 2 K 3.60-3.65
K2 0.0699 0.9301 0.7500  4 K 3.60-3.95, 4 Au 3.66, 1 Ga 4.01
K3 0.4361 0.9460 0.2500  4 Au 3.40-3.52, 1 Ga 3.54, 2 K 3.60-3.65
K4 0.5639 0.0540 0.7500  4 Au 3.40-3.52, 1 Ga 3.54, 2 K 3.60-3.65
K5 0.9301 0.0699 0.2500  4 K 3.60-3.95, 4 Au 3.66, 1 Ga 4.01
K6 0.9460 0.4361 0.7500  4 Au 3.40-3.52, 1 Ga 3.54, 2 K 3.60-3.65
Ga1 0.4310 0.5690 0.7500  4 Au 2.66
Ga2 0.5690 0.4310 0.2500  4 Au 2.66
Au1 0.3191 0.3191 0.0000  2 Ga 2.66
Au2 0.3191 0.3191 0.5000  2 Ga 2.66
Au3 0.6809 0.6809 0.0000  2 Ga 2.66
Au4 0.6809 0.6809 0.5000  2 Ga 2.66

Results
**Crystal system**: orthorhombic
**DOS at the Fermi energy**: 0.378 states/eV/atom
**Energy above the lowest structure with this stoichiometry**: 10 meV/atom
**Magnetic moment**: 0.00 Bohr magnetons per cell
**Formation energy from the elements**: -0.1923 eV per atom

=====

Material: KGa7Au3
Method: DFT, PBE
State: relaxed

a = 8.7349 Å, b = 8.7349 Å, c = 8.7349 Å
α = 57.04°, β = 57.04°, γ = 57.04°
With the nearest neighbours (Å) after each atom.
Positions (direct):
K1 0.0000 0.0000 0.0000  6 Au 3.39, 12 Ga 3.40-3.49
K2 0.5000 0.5000 0.5000  6 Au 3.39, 12 Ga 3.40-3.49
Ga1 0.0697 0.8537 0.6705  3 Au 2.69-2.74, 3 Ga 2.89-2.93
Ga2 0.1463 0.3295 0.9303  3 Au 2.69-2.74, 3 Ga 2.89-2.93
Ga3 0.1705 0.3537 0.5697  3 Au 2.69-2.74, 3 Ga 2.89-2.93
Ga4 0.2500 0.2500 0.2500  3 Au 2.63
Ga5 0.3295 0.9303 0.1463  3 Au 2.69-2.74, 3 Ga 2.89-2.93
Ga6 0.3537 0.5697 0.1705  3 Au 2.69-2.74, 3 Ga 2.89-2.93
Ga7 0.4303 0.8295 0.6463  3 Au 2.69-2.74, 3 Ga 2.89-2.93
Ga8 0.5697 0.1705 0.3537  3 Au 2.69-2.74, 3 Ga 2.89-2.93
Ga9 0.6463 0.4303 0.8295  3 Au 2.69-2.74, 3 Ga 2.89-2.93
Ga10 0.6705 0.0697 0.8537  3 Au 2.69-2.74, 3 Ga 2.89-2.93
Ga11 0.7500 0.7500 0.7500  3 Au 2.63
Ga12 0.8295 0.6463 0.4303  3 Au 2.69-2.74, 3 Ga 2.89-2.93
Ga13 0.8537 0.6705 0.0697  3 Au 2.69-2.74, 3 Ga 2.89-2.93
Ga14 0.9303 0.1463 0.3295  3 Au 2.69-2.74, 3 Ga 2.89-2.93
Au1 0.0653 0.7500 0.4347  7 Ga 2.63-2.74
Au2 0.2500 0.5653 0.9347  7 Ga 2.63-2.74
Au3 0.4347 0.0653 0.7500  7 Ga 2.63-2.74
Au4 0.5653 0.9347 0.2500  7 Ga 2.63-2.74
Au5 0.7500 0.4347 0.0653  7 Ga 2.63-2.74
Au6 0.9347 0.2500 0.5653  7 Ga 2.63-2.74

Results
**Crystal system**: trigonal
**DOS at the Fermi energy**: 0.345 states/eV/atom
**Magnetic moment**: 0.00 Bohr magnetons per cell
**Formation energy from the elements**: -0.2231 eV per atom

=====

Material: KGa4Au2
Method: DFT, PBE
State: relaxed

a = 17.7978 Å, b = 4.4548 Å, c = 7.6949 Å
α = 90.00°, β = 90.00°, γ = 90.00°
With the nearest neighbours (Å) after each atom.
Positions (direct):
K1 0.1128 0.2500 0.0102  10 Ga 3.41-3.74, 5 Au 3.52-3.69
K2 0.3872 0.7500 0.5102  10 Ga 3.41-3.74, 5 Au 3.52-3.69
K3 0.6128 0.2500 0.4898  10 Ga 3.41-3.74, 5 Au 3.52-3.69
K4 0.8872 0.7500 0.9898  10 Ga 3.41-3.74, 5 Au 3.52-3.69
Ga1 0.0471 0.7500 0.7115  3 Au 2.69-3.01, 4 Ga 2.69-2.96
Ga2 0.0910 0.2500 0.4791  4 Au 2.59-2.75, 1 Ga 2.86
Ga3 0.1915 0.7500 0.3317  4 Au 2.66-2.81, 1 Ga 2.97
Ga4 0.1985 0.7500 0.7168  3 Au 2.69-2.73, 2 Ga 2.69-2.97
Ga5 0.3015 0.2500 0.2168  3 Au 2.69-2.73, 2 Ga 2.69-2.97
Ga6 0.3085 0.2500 0.8317  4 Au 2.66-2.81, 1 Ga 2.97
Ga7 0.4090 0.7500 0.9791  4 Au 2.59-2.75, 1 Ga 2.86
Ga8 0.4529 0.2500 0.2115  3 Au 2.69-3.01, 4 Ga 2.69-2.96
Ga9 0.5471 0.7500 0.7885  3 Au 2.69-3.01, 4 Ga 2.69-2.96
Ga10 0.5910 0.2500 0.0209  4 Au 2.59-2.75, 1 Ga 2.86
Ga11 0.6915 0.7500 0.1683  4 Au 2.66-2.81, 1 Ga 2.97
Ga12 0.6985 0.7500 0.7832  3 Au 2.69-2.73, 2 Ga 2.69-2.97
Ga13 0.8015 0.2500 0.2832  3 Au 2.69-2.73, 2 Ga 2.69-2.97
Ga14 0.8085 0.2500 0.6683  4 Au 2.66-2.81, 1 Ga 2.97
Ga15 0.9090 0.7500 0.5209  4 Au 2.59-2.75, 1 Ga 2.86
Ga16 0.9529 0.2500 0.2885  3 Au 2.69-3.01, 4 Ga 2.69-2.96
Au1 0.0369 0.7500 0.3215  7 Ga 2.69-3.01
Au2 0.2346 0.2500 0.5306  7 Ga 2.59-2.81
Au3 0.2654 0.7500 0.0306  7 Ga 2.59-2.81
Au4 0.4631 0.2500 0.8215  7 Ga 2.69-3.01
Au5 0.5369 0.7500 0.1785  7 Ga 2.69-3.01
Au6 0.7346 0.2500 0.9694  7 Ga 2.59-2.81
Au7 0.7654 0.7500 0.4694  7 Ga 2.59-2.81
Au8 0.9631 0.2500 0.6785  7 Ga 2.69-3.01

Results
**Crystal system**: orthorhombic
**DOS at the Fermi energy**: 0.427 states/eV/atom
**Energy above the lowest structure with this stoichiometry**: 0 meV/atom
**Magnetic moment**: 0.00 Bohr magnetons per cell
**Formation energy from the elements**: -0.2552 eV per atom